4
Lattice="-2.998 -0.585 -2.576 3.784 -0.437 -1.206 -0.191 -6.064 1.598" Properties=species:S:1:pos:R:3 comment="TmCuSe2 (PBEsol, optimized geometry)" formation_energy_uncorrected_ev_per_atom=-1.20 final_energy_ev_per_atom=-5.4379 pbc="T T T"
Tm -0.038 -1.198 0.316
Cu 1.368 -5.453 -0.354
Se 1.441 -3.130 -0.966
Se -0.913 -6.153 -0.639